[1]
Rb2BeGaP2 PBE-GGA relaxed; E_form = -243.0 meV per atom; symmetry = Ibam, No. 72; density = 3.47 Mg/m³
1.0
-3.092 7.909 3.047
3.092 -7.909 3.047
3.092 7.909 -3.047
Rb Be Ga P
4 2 2 4
Direct
0.167 0.245 0.411
0.333 0.745 0.078
0.667 0.255 0.922
0.833 0.755 0.589
0.250 0.750 0.500
0.750 0.250 0.500
0.250 0.250 0.000
0.750 0.750 0.000
0.074 0.717 0.791
0.426 0.217 0.644
0.574 0.783 0.356
0.926 0.283 0.209


[2]
Lu2SnRu PBE-GGA relaxed; E_form = -612.7 meV per atom; relative energy among the computed polymorphs = 0.000 eV/atom; symmetry = P4/mmm, No. 123; density = 10.64 Mg/m³
1.0
3.332 0.000 0.000
0.000 3.332 0.000
0.000 0.000 8.005
Lu Sn Ru
2 1 1
Direct
0.000 0.000 0.205
0.000 0.000 0.795
0.500 0.500 0.500
0.500 0.500 0.000


[3]
YGeN2F PBE-GGA relaxed; relative energy among the computed polymorphs = 0.743 eV/atom; symmetry = P4/mmm, No. 123; uncorrected formation energy = -62 kJ/mol of formula units; density = 4.00 Mg/m³
1.0
4.514 0.000 0.000
0.000 4.514 0.000
0.000 0.000 4.248
Y Ge N F
1 1 2 1
Direct
0.000 0.000 0.000
0.500 0.500 0.500
0.000 0.500 0.000
0.500 0.000 0.000
0.000 0.000 0.500


[4]
Ba2NaMg16 PBE-GGA relaxed; E_form = -50.2 meV per atom; symmetry = R3m, No. 160; density = 2.20 Mg/m³
1.0
5.362 3.096 5.209
-5.362 3.096 5.209
0.000 -6.192 5.209
Ba Na Mg
2 1 16
Direct
0.000 0.000 0.000
0.322 0.322 0.322
0.758 0.758 0.758
0.009 0.009 0.499
0.009 0.499 0.009
0.166 0.657 0.657
0.315 0.315 0.812
0.315 0.812 0.315
0.361 0.659 0.957
0.361 0.957 0.659
0.499 0.009 0.009
0.558 0.558 0.558
0.657 0.166 0.657
0.657 0.657 0.166
0.659 0.361 0.957
0.659 0.957 0.361
0.812 0.315 0.315
0.957 0.361 0.659
0.957 0.659 0.361


[5]
Li7Zn2Cd PBE-GGA relaxed; E_form = 122.7 meV per atom; relative energy among the computed polymorphs = 0.191 eV/atom; symmetry = Cmmm, No. 65; density = 2.14 Mg/m³
1.0
3.685 -6.600 0.000
3.685 6.600 0.000
0.000 0.000 4.664
Li Zn Cd
7 2 1
Direct
0.000 0.000 0.000
0.203 0.437 0.000
0.276 0.724 0.500
0.437 0.203 0.000
0.563 0.797 0.000
0.724 0.276 0.500
0.797 0.563 0.000
0.202 0.798 0.000
0.798 0.202 0.000
0.500 0.500 0.500


[6]
AlCo2B PBE-GGA relaxed; E_form = -336.0 meV per atom; relative energy among the computed polymorphs = 0.000 eV/atom; symmetry = P4/mmm, No. 123; density = 6.71 Mg/m³
1.0
2.573 0.000 0.000
0.000 2.573 0.000
0.000 0.000 5.818
Al Co B
1 2 1
Direct
0.000 0.000 0.000
0.500 0.500 0.296
0.500 0.500 0.704
0.000 0.000 0.500


[7]
AgSb2AsI PBE-GGA relaxed; relative energy among the computed polymorphs = 0.000 eV/atom; symmetry = P4/mmm, No. 123; uncorrected formation energy = 351 kJ/mol of formula units; density = 5.51 Mg/m³
1.0
5.453 0.000 0.000
0.000 5.453 0.000
0.000 0.000 5.611
Ag Sb As I
1 2 1 1
Direct
0.000 0.000 0.000
0.000 0.500 0.500
0.500 0.000 0.500
0.500 0.500 0.500
0.500 0.500 0.000


[8]
CsSrF3 PBE-GGA relaxed; relative energy among the computed polymorphs = 0.004 eV/atom; symmetry = Pm-3m, No. 221; uncorrected formation energy = -1654 kJ/mol of formula units; density = 4.11 Mg/m³
1.0
4.822 0.000 0.000
0.000 4.822 0.000
0.000 0.000 4.822
Cs Sr F
1 1 3
Direct
0.000 0.000 0.000
0.500 0.500 0.500
0.000 0.500 0.500
0.500 0.000 0.500
0.500 0.500 0.000


[9]
WBr2Cl PBE-GGA relaxed; relative energy among the computed polymorphs = 0.456 eV/atom; symmetry = R-3m, No. 166; uncorrected formation energy = 77 kJ/mol of formula units; density = 7.52 Mg/m³
1.0
1.689 0.975 8.465
-1.689 0.975 8.465
0.000 -1.951 8.465
W Br Cl
1 2 1
Direct
0.000 0.000 0.000
0.264 0.264 0.264
0.736 0.736 0.736
0.500 0.500 0.500


[10]
Mg2InPt8 PBE-GGA relaxed; E_form = -401.1 meV per atom; symmetry = Immm, No. 71; density = 15.14 Mg/m³
1.0
-1.978 4.071 5.868
1.978 -4.071 5.868
1.978 4.071 -5.868
Mg In Pt
2 1 8
Direct
0.147 0.147 0.000
0.853 0.853 0.000
0.500 0.500 0.000
0.089 0.332 0.756
0.258 0.000 0.258
0.317 0.817 0.500
0.424 0.668 0.756
0.576 0.332 0.244
0.683 0.183 0.500
0.742 0.000 0.742
0.911 0.668 0.244


[11]
ZrZn2Cd PBE-GGA relaxed; E_form = 33.5 meV per atom; symmetry = R-3m, No. 166; density = 7.15 Mg/m³
1.0
1.520 0.878 9.709
-1.520 0.878 9.709
0.000 -1.755 9.709
Zr Zn Cd
1 2 1
Direct
0.000 0.000 0.000
0.251 0.251 0.251
0.749 0.749 0.749
0.500 0.500 0.500


[12]
LaTiRe2 PBE-GGA relaxed; E_form = 734.8 meV per atom; relative energy among the computed polymorphs = 0.373 eV/atom; symmetry = I4_1/amd, No. 141; density = 9.07 Mg/m³
1.0
-2.440 2.440 8.597
2.440 -2.440 8.597
2.440 2.440 -8.597
La Ti Re
2 2 4
Direct
0.375 0.625 0.750
0.625 0.375 0.250
0.125 0.875 0.250
0.875 0.125 0.750
0.000 0.000 0.000
0.000 0.000 0.500
0.000 0.500 0.000
0.500 0.000 0.500


[13]
PaSi2HgO8 PBE-GGA relaxed; symmetry = P-3m1, No. 164; uncorrected formation energy = -2572 kJ/mol of formula units; density = 5.69 Mg/m³
1.0
5.554 0.000 0.000
-2.777 4.810 0.000
0.000 0.000 6.729
Pa Si Hg O
1 2 1 8
Direct
0.000 0.000 0.000
0.333 0.667 0.704
0.667 0.333 0.296
0.000 0.000 0.500
0.173 0.346 0.793
0.173 0.827 0.793
0.333 0.667 0.463
0.346 0.173 0.207
0.654 0.827 0.793
0.667 0.333 0.537
0.827 0.173 0.207
0.827 0.654 0.207


Results for total moment: 0.000 0.000 0.401 0.000 0.000 0.000 0.156 0.000 0.000 0.000 0.000 0.000 0.083 (in μB/atom, following the order of the records).